[1]
Computed, not measured: K3Re2BiO9 after structural relaxation at the PBE-GGA level of DFT.

Output
E_form (uncorrected) = -1.5973 eV per atom

abc: 5.8158 5.8158 7.2830
angles: 90.00 90.00 120.00
Closest atoms and distances in Å follow each position.
Space group P-3m1 (No. 164)
One atom of each set of equivalent atoms:
K 0.0000 0.0000 0.0000 (multiplicity 1)  12 O 2.85-2.91
K 0.3333 0.6667 0.6692 (multiplicity 2)  12 O 2.92-3.09
Re 0.3333 0.6667 0.1518 (multiplicity 2)  6 O 1.89-2.01
Bi 0.0000 0.0000 0.5000 (multiplicity 1)  6 O 2.32
O 0.0000 0.5000 0.0000 (multiplicity 3)  2 Re 2.01
O 0.1804 0.3607 0.3013 (multiplicity 6)  1 Re 1.89

[2]
Computed, not measured: YEr2Sc after structural relaxation at the PBE-GGA level of DFT.

Output
formation energy = 0.047 eV per atom

abc: 4.8946 4.8946 4.9035
angles: 90.00 90.00 90.00
Closest atoms and distances in Å follow each position.
Space group P4/mmm (No. 123)
One atom of each set of equivalent atoms:
Y 0.0000 0.0000 0.0000 (multiplicity 1)  4 Sc 3.46, 8 Er 3.46
Er 0.0000 0.5000 0.5000 (multiplicity 2)  4 Er 3.46, 4 Sc 3.46, 4 Y 3.46
Sc 0.5000 0.5000 0.0000 (multiplicity 1)  4 Y 3.46, 8 Er 3.46

[3]
Computed, not measured: Ba2ZrBeIn after structural relaxation at the PBE-GGA level of DFT.

Output
formation energy = 0.590 eV per atom

abc: 6.2620 6.2620 4.5847
angles: 90.00 90.00 90.00
Closest atoms and distances in Å follow each position.
Space group P4/mmm (No. 123)
One atom of each set of equivalent atoms:
Ba 0.0000 0.5000 0.0000 (multiplicity 2)  2 Be 3.13
Zr 0.0000 0.0000 0.5000 (multiplicity 1)  8 Ba 3.88
Be 0.5000 0.5000 0.0000 (multiplicity 1)  2 In 2.29
In 0.5000 0.5000 0.5000 (multiplicity 1)  2 Be 2.29

[4]
Computed, not measured: KTa3W after structural relaxation at the PBE-GGA level of DFT.

Output
formation energy = 3.101 eV per atom

abc: 4.5629 4.5629 4.5629
angles: 90.00 90.00 90.00
Closest atoms and distances in Å follow each position.
Space group Pm-3m (No. 221)
One atom of each set of equivalent atoms:
K 0.0000 0.0000 0.0000 (multiplicity 1)  6 Ta 2.28
Ta 0.0000 0.0000 0.5000 (multiplicity 3)  2 K 2.28
W 0.5000 0.5000 0.5000 (multiplicity 1)  12 Ta 3.23

[5]
Computed, not measured: CrCd3 after structural relaxation at the PBE-GGA level of DFT.

Output
formation energy = 0.236 eV per atom

abc: 4.3374 4.3374 17.1563
angles: 90.00 90.00 90.00
Closest atoms and distances in Å follow each position.
Space group I4/mmm (No. 139)
One atom of each set of equivalent atoms:
Cr 0.0000 0.0000 0.1239 (multiplicity 4)  12 Cd 3.04-3.07
Cd 0.0000 0.0000 0.3737 (multiplicity 4)  8 Cd 3.03-3.07, 4 Cr 3.07
Cd 0.0000 0.5000 0.0000 (multiplicity 4)  4 Cr 3.04, 8 Cd 3.07
Cd 0.0000 0.5000 0.2500 (multiplicity 4)  8 Cd 3.03-3.07, 4 Cr 3.06

[6]
Computed, not measured: LaDy5Tm8 after structural relaxation at the PBE-GGA level of DFT.

Output
formation energy = 0.245 eV per atom

abc: 9.4933 9.4933 9.9147
angles: 90.00 90.00 90.00
Closest atoms and distances in Å follow each position.
Space group I-4 (No. 82)
One atom of each set of equivalent atoms:
La 0.0000 0.0000 0.0000 (multiplicity 2)  8 Tm 3.08-3.34
Dy 0.0000 0.5000 0.2500 (multiplicity 2)  4 Tm 3.22
Dy 0.1126 0.2092 0.5780 (multiplicity 8)  8 Tm 3.30-3.49, 2 Dy 3.55
Tm 0.0713 0.3297 0.9040 (multiplicity 8)  1 La 3.34, 4 Dy 3.40-3.49, 4 Tm 3.51-3.72
Tm 0.0906 0.1732 0.2478 (multiplicity 8)  1 La 3.08, 4 Dy 3.22-3.41

Number 1: calculated density 6.6 g cm⁻³. Number 2: calculated density 6.6 g cm⁻³. Number 3: calculated density 4.5 g cm⁻³. Number 4: calculated density 13.4 g cm⁻³. Number 5: calculated density 8.0 g cm⁻³. Number 6: calculated density 8.6 g cm⁻³.